Entry 1:
DFT (PBE) results for a relaxed structure of Y2BeBr.

Unit cell a=4.0555 b=4.0555 c=5.7453 alpha=90.00 beta=90.00 gamma=90.00
Fractional positions:
Y 0.0000 0.0000 0.0000
Y 0.5000 0.5000 0.5000
Be 0.0000 0.0000 0.5000
Br 0.5000 0.5000 0.0000

E above lowest polymorph, meV per atom: 76
Energy relative to the elements, uncorrected, meV/atom: -433
Total magnetic moment, Bohr magnetons per cell: 0.00
Final energy, eV per cell: -20.060
Space-group type: P4/mmm (123)
DOS(E_F), states/eV/atom: 0.599



Entry 2:
DFT (PBE) results for a relaxed structure of YBeBr2.

Unit cell a=3.7986 b=3.7986 c=10.8406 alpha=90.00 beta=90.00 gamma=119.25
Fractional positions:
Y 0.0000 0.0000 0.0000
Be 0.0000 0.0000 0.5000
Br 0.5000 0.5000 0.1913
Br 0.5000 0.5000 0.8087

E above lowest polymorph, meV per atom: 499
Energy relative to the elements, uncorrected, meV/atom: -201
Total magnetic moment, Bohr magnetons per cell: 0.13
Final energy, eV per cell: -14.340
Space-group type: Cmmm (65)
DOS(E_F), states/eV/atom: 0.536



Entry 3:
DFT (PBE) results for a relaxed structure of YBeBr2.

Unit cell a=10.4939 b=10.4939 c=10.4939 alpha=20.68 beta=20.68 gamma=20.68
Fractional positions:
Y 0.0000 0.0000 0.0000
Be 0.5000 0.5000 0.5000
Br 0.2720 0.2720 0.2720
Br 0.7280 0.7280 0.7280

E above lowest polymorph, meV per atom: 354
Energy relative to the elements, uncorrected, meV/atom: -346
Total magnetic moment, Bohr magnetons per cell: 0.39
Final energy, eV per cell: -14.920
Space-group type: R-3m (166)
DOS(E_F), states/eV/atom: 0.519



Entry 4:
DFT (PBE) results for a relaxed structure of YBeBr2.

Unit cell a=3.7758 b=4.4010 c=5.5285 alpha=90.00 beta=90.00 gamma=90.00
Fractional positions:
Y 0.0000 0.0000 0.0000
Be 0.5000 0.0000 0.5000
Br 0.0000 0.5000 0.5000
Br 0.5000 0.5000 0.0000

E above lowest polymorph, meV per atom: 443
Energy relative to the elements, uncorrected, meV/atom: -257
Total magnetic moment, Bohr magnetons per cell: 0.00
Final energy, eV per cell: -14.563
Space-group type: Pmmm (47)
DOS(E_F), states/eV/atom: 0.635



no.,ρ (g cm⁻³)
1,4.69
2,3.14
3,3.39
4,4.66